P | Compound: Ba2Hg2I
Source: Alexandria
Functional: PBE-GGA
Structure: optimized geometry

Cell lengths 6.536, 6.536, 6.872 Å; angles 61.60, 61.60, 90.00 degrees
Positions (direct):
Ba 0.250 0.750 0.500
Ba 0.750 0.250 0.500
Hg 0.638 0.638 0.724
Hg 0.362 0.362 0.276
I 0.000 0.000 0.000

Properties
magnetization: 0.0000 μB/atom

Q | Compound: Ba2Hg2I
Source: Alexandria
Functional: PBE-GGA
Structure: optimized geometry

Cell lengths 9.545, 9.545, 4.659 Å; angles 90.00, 90.00, 90.00 degrees
Positions (direct):
Hg 0.885 0.385 0.500
Hg 0.615 0.885 0.500
Hg 0.115 0.615 0.500
Hg 0.385 0.115 0.500
Ba 0.678 0.178 0.000
Ba 0.178 0.322 0.000
Ba 0.822 0.678 0.000
Ba 0.322 0.822 0.000
I 0.500 0.500 0.000
I 0.000 0.000 0.000

Properties
magnetization: 0.0000 μB/atom

Relative energies, kJ/mol of atoms: P 15.1; Q 0.0.

P | Compound: Ba2HgI2
Source: Alexandria
Functional: PBE-GGA
Structure: optimized geometry

Cell lengths 5.551, 5.551, 9.259 Å; angles 72.56, 72.56, 90.00 degrees
Positions (direct):
I 0.750 0.250 0.500
I 0.250 0.750 0.500
Ba 0.624 0.624 0.752
Ba 0.376 0.376 0.248
Hg 0.000 0.000 0.000

Properties
magnetization: 0.0000 μB/atom

Q | Compound: Ba2HgI2
Source: Alexandria
Functional: PBE-GGA
Structure: optimized geometry

Cell lengths 9.747, 9.747, 4.319 Å; angles 90.00, 90.00, 90.00 degrees
Positions (direct):
I 0.366 0.866 0.000
I 0.866 0.634 0.000
I 0.634 0.134 0.000
I 0.134 0.366 0.000
Ba 0.834 0.334 0.500
Ba 0.334 0.166 0.500
Ba 0.666 0.834 0.500
Ba 0.166 0.666 0.500
Hg 0.000 0.000 0.000
Hg 0.500 0.500 0.000

Properties
magnetization: 0.0000 μB/atom

Relative energies, kJ/mol of atoms: P 5.3; Q 0.0.

P | Compound: BaHgI2N
Source: Alexandria
Functional: PBE-GGA
Structure: optimized geometry

Cell lengths 6.895, 6.895, 4.812 Å; angles 90.00, 90.00, 90.00 degrees
Positions (direct):
Ba 0.000 0.000 0.000
I 0.500 0.000 0.000
I 0.000 0.500 0.000
N 0.000 0.000 0.500
Hg 0.500 0.500 0.500

Properties
magnetization: 0.0000 μB/atom

Q | Compound: BaHgI2N
Source: Alexandria
Functional: PBE-GGA
Structure: optimized geometry

Cell lengths 6.419, 6.419, 4.146 Å; angles 90.00, 90.00, 90.00 degrees
Last column: magnetic moment on the atom in μB.
Positions (direct):
Ba 0.500 0.500 0.500  0.02
Hg 0.000 0.000 0.000  0.05
I 0.500 0.000 0.000  0.02
I 0.000 0.500 0.000  0.02
N 0.000 0.000 0.500  0.74

Properties
magnetization: 0.2473 μB/atom

Relative energies, kJ/mol of atoms: P 36.8; Q 0.0.